A relaxed structure of MgCu2PPt, computed with PBE.

The structure in POSCAR format:
```
MgCu2PPt
1.0
4.696 0.000 0.000
0.000 4.696 0.000
0.000 0.000 4.795
Mg Cu P Pt
1 2 1 1
Direct
0.000 0.000 0.000
0.000 0.500 0.500
0.500 0.000 0.500
0.500 0.500 0.000
0.000 0.000 0.500
```

Summary:
* symmetry: P4/mmm
* Fermi-level density of states: 3.49 states/eV per cell
* calculated volume: 21.1 Å³/atom
* formation energy from the elements: 66.0 kJ per mole of atoms
* energy: -17.818 eV for the cell shown

A relaxed structure of Mg5Zn2Hg5, computed with PBE.

The structure in POSCAR format:
```
Mg5Zn2Hg5
1.0
7.481 -1.766 0.000
7.481 1.766 0.000
-7.149 0.000 9.469
Mg Zn Hg
5 2 5
Direct
0.000 0.000 0.000
0.093 0.093 0.755
0.172 0.172 0.522
0.828 0.828 0.478
0.907 0.907 0.245
0.327 0.327 0.009
0.673 0.673 0.991
0.237 0.237 0.225
0.427 0.427 0.741
0.500 0.500 0.500
0.573 0.573 0.259
0.763 0.763 0.775
```

Summary:
* symmetry: C2/m
* Fermi-level density of states: 3.81 states/eV per cell
* calculated volume: 20.9 Å³/atom
* formation energy from the elements: -11.8 kJ per mole of atoms
* energy: -13.502 eV for the cell shown

A relaxed structure of Li2CoSi, computed with PBE.

The structure in POSCAR format:
```
Li2CoSi
1.0
2.709 0.000 0.000
0.000 3.892 0.000
0.000 0.000 8.760
Li Co Si
4 2 2
Direct
0.000 0.000 0.244
0.000 0.000 0.756
0.500 0.500 0.256
0.500 0.500 0.744
0.000 0.500 0.500
0.500 0.000 0.000
0.000 0.500 0.000
0.500 0.000 0.500
```

Summary:
* symmetry: Immm
* Fermi-level density of states: 3.50 states/eV per cell
* calculated volume: 11.5 Å³/atom
* uncorrected formation energy: -0.20 eV/atom
* energy: -34.333 eV for the cell shown